Al2VI8 PBE-GGA optimized geometry; DFT total energy = -35.57 eV/cell; theoretical density = 3.6 Mg/m³; V = 517 Å³ per cell; SG = C2/m, No. 12; formation energy (no corrections) = -597 meV/atom
1.0
6.713 -5.622 0.000
6.713 5.622 0.000
-0.672 0.000 6.849
Al V I
2 1 8
direct
0.189 0.189 0.143 Al
0.811 0.811 0.857 Al
0.000 0.000 0.500 V
0.085 0.732 0.722 I
0.182 0.182 0.764 I
0.268 0.915 0.278 I
0.372 0.372 0.261 I
0.628 0.628 0.739 I
0.732 0.085 0.722 I
0.818 0.818 0.236 I
0.915 0.268 0.278 I